[1]
A plane-wave DFT calculation with PBE was carried out for a geometry-optimized Pm2Pr5YSc structure.

abc: 10.5205 10.5205 10.5205
angles: 132.33 132.33 69.71
With the nearest neighbours (Å) after each atom.
Fractional coordinates of all 18 atoms:
1 Pm 0.1249 0.6249 0.7499  1 Pm 3.00, 4 Pr 3.14-3.36
2 Pm 0.3751 0.1249 0.5000  1 Pm 3.00, 4 Pr 3.14-3.36
3 Pm 0.6249 0.8751 0.5000  1 Pm 3.00, 4 Pr 3.14-3.36
4 Pm 0.8751 0.3751 0.2501  1 Pm 3.00, 4 Pr 3.14-3.36
5 Pr 0.0000 0.0000 0.0000  4 Pm 3.36
6 Pr 0.0725 0.1376 0.5000  1 Pm 3.14, 1 Sc 3.18
7 Pr 0.1376 0.6376 0.0650  1 Pm 3.14, 1 Sc 3.18
8 Pr 0.3624 0.4275 0.5000  1 Pm 3.14, 1 Sc 3.18
9 Pr 0.4275 0.9275 0.0650  1 Pm 3.14, 1 Sc 3.18
10 Pr 0.5000 0.5000 0.0000  4 Pm 3.36
11 Pr 0.5725 0.0725 0.9350  1 Pm 3.14, 1 Sc 3.18
12 Pr 0.6376 0.5725 0.5000  1 Pm 3.14, 1 Sc 3.18
13 Pr 0.8624 0.3624 0.9350  1 Pm 3.14, 1 Sc 3.18
14 Pr 0.9275 0.8624 0.5000  1 Pm 3.14, 1 Sc 3.18
15 Y 0.2500 0.2500 0.0000  8 Pr 3.53
16 Y 0.7500 0.7500 0.0000  8 Pr 3.53
17 Sc 0.2500 0.7500 0.5000  4 Pr 3.18
18 Sc 0.7500 0.2500 0.5000  4 Pr 3.18

- Symmetry: I4/mcm, No. 140
- Final energy: -4.851 eV/atom
- Theoretical density: 6.0 g cm⁻³
- Size of the total moment: 0.000 μB per atom
- Formation energy: 0.28 eV per atom

[2]
A plane-wave DFT calculation with PBE was carried out for a geometry-optimized PmPrScZn structure.

abc: 5.3447 5.3447 5.3447
angles: 60.00 60.00 60.00
With the nearest neighbours (Å) after each atom.
Fractional coordinates of all 4 atoms:
1 Pm 0.0000 0.0000 0.0000  4 Sc 3.27, 4 Zn 3.27
2 Pr 0.5000 0.5000 0.5000  4 Sc 3.27, 4 Zn 3.27
3 Sc 0.2500 0.2500 0.2500  4 Pr 3.27, 4 Pm 3.27
4 Zn 0.7500 0.7500 0.7500  4 Pr 3.27, 4 Pm 3.27

- Symmetry: F-43m, No. 216
- Final energy: -4.296 eV/atom
- Theoretical density: 6.1 g cm⁻³
- Size of the total moment: 0.002 μB per atom
- Formation energy: -0.01 eV per atom

[3]
A plane-wave DFT calculation with PBE was carried out for a geometry-optimized PmPrZrSc structure.

abc: 5.4590 5.4590 5.4590
angles: 60.00 60.00 60.00
With the nearest neighbours (Å) after each atom.
Fractional coordinates of all 4 atoms:
1 Pm 0.0000 0.0000 0.0000  4 Pr 3.34, 4 Zr 3.34
2 Pr 0.2500 0.2500 0.2500  4 Sc 3.34, 4 Pm 3.34
3 Zr 0.7500 0.7500 0.7500  4 Sc 3.34, 4 Pm 3.34
4 Sc 0.5000 0.5000 0.5000  4 Zr 3.34, 4 Pr 3.34

- Symmetry: F-43m, No. 216
- Final energy: -5.863 eV/atom
- Theoretical density: 6.1 g cm⁻³
- Size of the total moment: 0.249 μB per atom
- Formation energy: 0.24 eV per atom

[4]
A plane-wave DFT calculation with PBE was carried out for a geometry-optimized Pm2PrSe3 structure.

abc: 7.3010 7.3010 7.3010
angles: 146.30 131.83 60.07
With the nearest neighbours (Å) after each atom.
Fractional coordinates of all 6 atoms:
1 Pm 0.1643 0.1643 0.0000  6 Se 2.96-2.98
2 Pm 0.8357 0.8357 0.0000  6 Se 2.96-2.98
3 Pr 0.5000 0.5000 0.0000  6 Se 2.98-3.02
4 Se 0.0000 0.5000 0.5000  4 Pm 2.96, 2 Pr 2.98
5 Se 0.3296 0.8296 0.5000  4 Pm 2.97-2.98, 2 Pr 3.02
6 Se 0.6704 0.1704 0.5000  4 Pm 2.97-2.98, 2 Pr 3.02

- Uncorrected formation energy: -11.0 eV per formula unit
- Energy relative to the lowest polymorph listed for this composition: 0.0 meV/atom
- Symmetry: Immm, No. 71
- Final energy: -5.958 eV/atom
- Theoretical density: 7.0 g cm⁻³
- Size of the total moment: 0.000 μB per atom

[5]
A plane-wave DFT calculation with PBE was carried out for a geometry-optimized PmPr2Se structure.

abc: 9.9980 9.9980 9.9980
angles: 22.91 22.91 22.91
With the nearest neighbours (Å) after each atom.
Fractional coordinates of all 4 atoms:
1 Pm 0.0000 0.0000 0.0000  6 Pr 3.73-3.74, 6 Pm 3.97
2 Pr 0.5659 0.5659 0.5659  3 Se 2.98
3 Pr 0.7681 0.7681 0.7681  3 Se 2.99
4 Se 0.1672 0.1672 0.1672  6 Pr 2.98-2.99

- Uncorrected formation energy: -3.2 eV per formula unit
- Energy relative to the lowest polymorph listed for this composition: 0.0 meV/atom
- Symmetry: R3m, No. 160
- Final energy: -5.244 eV/atom
- Theoretical density: 6.3 g cm⁻³
- Size of the total moment: 0.139 μB per atom

[6]
A plane-wave DFT calculation with PBE was carried out for a geometry-optimized PmPrSe2 structure.

abc: 7.7291 7.7291 7.7291
angles: 30.97 30.97 30.97
With the nearest neighbours (Å) after each atom.
Fractional coordinates of all 4 atoms:
1 Pm 0.0000 0.0000 0.0000  6 Se 2.93-3.07
2 Pr 0.1771 0.1771 0.1771  6 Se 2.95-3.09
3 Se 0.5892 0.5892 0.5892  3 Pm 2.93, 3 Pr 2.95
4 Se 0.7544 0.7544 0.7544  3 Pm 3.07, 3 Pr 3.09

- Uncorrected formation energy: -7.2 eV per formula unit
- Energy relative to the lowest polymorph listed for this composition: 30.4 meV/atom
- Symmetry: R3m, No. 160
- Final energy: -5.935 eV/atom
- Theoretical density: 6.8 g cm⁻³
- Size of the total moment: 0.000 μB per atom

[7]
A plane-wave DFT calculation with PBE was carried out for a geometry-optimized PmPr2Se3 structure.

abc: 7.3411 7.3411 7.3411
angles: 146.31 131.83 60.07
With the nearest neighbours (Å) after each atom.
Fractional coordinates of all 6 atoms:
1 Pm 0.0000 0.0000 0.0000  6 Se 2.97-3.00
2 Pr 0.3312 0.3312 0.0000  6 Se 3.00-3.02
3 Pr 0.6688 0.6688 0.0000  6 Se 3.00-3.02
4 Se 0.1631 0.6631 0.5000  2 Pm 2.97, 4 Pr 3.00-3.02
5 Se 0.5000 0.0000 0.5000  2 Pm 3.00, 4 Pr 3.02
6 Se 0.8369 0.3369 0.5000  2 Pm 2.97, 4 Pr 3.00-3.02

- Uncorrected formation energy: -11.0 eV per formula unit
- Energy relative to the lowest polymorph listed for this composition: 0.0 meV/atom
- Symmetry: Immm, No. 71
- Final energy: -5.966 eV/atom
- Theoretical density: 6.8 g cm⁻³
- Size of the total moment: 0.000 μB per atom

[8]
A plane-wave DFT calculation with PBE was carried out for a geometry-optimized PmPrSe2 structure.

abc: 7.3004 7.3004 7.3004
angles: 33.77 33.77 33.77
With the nearest neighbours (Å) after each atom.
Fractional coordinates of all 4 atoms:
1 Pm 0.0000 0.0000 0.0000  6 Se 2.97
2 Pr 0.5000 0.5000 0.5000  6 Se 3.02
3 Se 0.2520 0.2520 0.2520  3 Pm 2.97, 3 Pr 3.02
4 Se 0.7480 0.7480 0.7480  3 Pm 2.97, 3 Pr 3.02

- Uncorrected formation energy: -7.4 eV per formula unit
- Energy relative to the lowest polymorph listed for this composition: 0.0 meV/atom
- Symmetry: R-3m, No. 166
- Final energy: -5.965 eV/atom
- Theoretical density: 6.9 g cm⁻³
- Size of the total moment: 0.000 μB per atom

[9]
A plane-wave DFT calculation with PBE was carried out for a geometry-optimized Pm2PrSe3 structure.

abc: 4.1764 4.1764 21.1447
angles: 90.00 90.00 120.00
With the nearest neighbours (Å) after each atom.
Fractional coordinates of all 12 atoms:
1 Pm 0.3333 0.6667 0.0816  6 Se 2.96
2 Pm 0.3333 0.6667 0.4184  6 Se 2.96
3 Pm 0.6667 0.3333 0.5816  6 Se 2.96
4 Pm 0.6667 0.3333 0.9184  6 Se 2.96
5 Pr 0.0000 0.0000 0.2500  6 Se 3.03
6 Pr 0.0000 0.0000 0.7500  6 Se 3.03
7 Se 0.0000 0.0000 0.0000  6 Pm 2.96
8 Se 0.0000 0.0000 0.5000  6 Pm 2.96
9 Se 0.3333 0.6667 0.6631  3 Pm 2.96, 3 Pr 3.03
10 Se 0.3333 0.6667 0.8369  3 Pm 2.96, 3 Pr 3.03
11 Se 0.6667 0.3333 0.1631  3 Pm 2.96, 3 Pr 3.03
12 Se 0.6667 0.3333 0.3369  3 Pm 2.96, 3 Pr 3.03

- Uncorrected formation energy: -11.0 eV per formula unit
- Energy relative to the lowest polymorph listed for this composition: 3.2 meV/atom
- Symmetry: P6_3/mmc, No. 194
- Final energy: -5.955 eV/atom
- Theoretical density: 6.9 g cm⁻³
- Size of the total moment: 0.000 μB per atom

[10]
A plane-wave DFT calculation with PBE was carried out for a geometry-optimized Pm2PrSe4 structure.

abc: 8.4056 8.4056 8.4056
angles: 119.57 119.35 90.93
With the nearest neighbours (Å) after each atom.
Fractional coordinates of all 14 atoms:
1 Pm 0.0000 0.0000 0.0000  6 Se 2.93-2.98
2 Pm 0.5000 0.0000 0.0000  6 Se 2.95-2.98
3 Pm 0.5000 0.0000 0.5000  6 Se 2.93-2.98
4 Pm 0.5000 0.5000 0.5000  6 Se 2.95-2.98
5 Pr 0.0000 0.5000 0.5000  6 Se 2.97-3.02
6 Pr 0.5000 0.5000 0.0000  6 Se 2.97-3.02
7 Se 0.2471 0.2438 0.4968  3 Pm 2.98, 2 Pr 3.02
8 Se 0.2471 0.7503 0.0032  3 Pm 2.98, 2 Pr 3.02
9 Se 0.2557 0.2483 0.0074  3 Pm 2.93-2.95, 1 Pr 2.97
10 Se 0.2591 0.7517 0.5074  3 Pm 2.93-2.95, 1 Pr 2.97
11 Se 0.7409 0.2483 0.4926  3 Pm 2.93-2.95, 1 Pr 2.97
12 Se 0.7443 0.7517 0.9926  3 Pm 2.93-2.95, 1 Pr 2.97
13 Se 0.7529 0.2497 0.9968  3 Pm 2.98, 2 Pr 3.02
14 Se 0.7529 0.7562 0.5032  3 Pm 2.98, 2 Pr 3.02

- Uncorrected formation energy: -13.2 eV per formula unit
- Energy relative to the lowest polymorph listed for this composition: 0.0 meV/atom
- Symmetry: Imma, No. 74
- Final energy: -5.914 eV/atom
- Theoretical density: 5.9 g cm⁻³
- Size of the total moment: 0.000 μB per atom

[11]
A plane-wave DFT calculation with PBE was carried out for a geometry-optimized Pm3Pr2Se4 structure.

abc: 7.2507 7.2507 10.1831
angles: 117.77 117.77 33.46
With the nearest neighbours (Å) after each atom.
Fractional coordinates of all 9 atoms:
1 Pm 0.0000 0.0000 0.0000  6 Se 2.96
2 Pm 0.2034 0.2034 0.7994  5 Se 2.92-2.97
3 Pm 0.7966 0.7966 0.2006  5 Se 2.92-2.97
4 Pr 0.4030 0.4030 0.5984  4 Se 2.96-2.99
5 Pr 0.5970 0.5970 0.4016  4 Se 2.96-2.99
6 Se 0.1980 0.1980 0.3005  3 Pm 2.94-2.96, 3 Pr 2.96-2.98
7 Se 0.3969 0.3969 0.0976  5 Pm 2.92-2.97, 1 Pr 2.99
8 Se 0.6031 0.6031 0.9024  5 Pm 2.92-2.97, 1 Pr 2.99
9 Se 0.8020 0.8020 0.6995  3 Pm 2.94-2.96, 3 Pr 2.96-2.98

- Uncorrected formation energy: -14.4 eV per formula unit
- Symmetry: C2/m, No. 12
- Final energy: -5.797 eV/atom
- Theoretical density: 6.6 g cm⁻³
- Size of the total moment: 0.000 μB per atom

[12]
A plane-wave DFT calculation with PBE was carried out for a geometry-optimized PmPr2Se4 structure.

abc: 7.3439 7.3439 14.2155
angles: 90.00 90.00 147.53
With the nearest neighbours (Å) after each atom.
Fractional coordinates of all 14 atoms:
1 Pm 0.1269 0.8731 0.7500  6 Se 2.96-3.03
2 Pm 0.8731 0.1269 0.2500  6 Se 2.96-3.03
3 Pr 0.3699 0.6301 0.5710  6 Se 2.93-3.06
4 Pr 0.3699 0.6301 0.9290  6 Se 2.93-3.06
5 Pr 0.6301 0.3699 0.0710  6 Se 2.93-3.06
6 Pr 0.6301 0.3699 0.4290  6 Se 2.93-3.06
7 Se 0.0000 0.0000 0.0000  4 Pr 2.93
8 Se 0.0000 0.0000 0.5000  4 Pr 2.93
9 Se 0.2786 0.7214 0.1244  3 Pr 3.03-3.06, 2 Pm 3.03
10 Se 0.2786 0.7214 0.3756  3 Pr 3.03-3.06, 2 Pm 3.03
11 Se 0.4761 0.5239 0.7500  2 Pr 2.95, 2 Pm 2.96
12 Se 0.5239 0.4761 0.2500  2 Pr 2.95, 2 Pm 2.96
13 Se 0.7214 0.2786 0.6244  3 Pr 3.03-3.06, 2 Pm 3.03
14 Se 0.7214 0.2786 0.8756  3 Pr 3.03-3.06, 2 Pm 3.03

- Uncorrected formation energy: -12.9 eV per formula unit
- Energy relative to the lowest polymorph listed for this composition: 21.7 meV/atom
- Symmetry: Cmcm, No. 63
- Final energy: -5.883 eV/atom
- Theoretical density: 6.0 g cm⁻³
- Size of the total moment: 0.000 μB per atom